HfOs PBE-GGA relaxed; symmetry = P6_3/mmc (194); DFT formation energy = -62 meV per atom; crystal system = hexagonal
1.0
8.507 0.000 0.000
-4.253 7.367 0.000
0.000 0.000 3.779
Hf Os
6 6
direct
0.177 0.354 0.250 Hf
0.177 0.823 0.250 Hf
0.354 0.177 0.750 Hf
0.646 0.823 0.250 Hf
0.823 0.177 0.750 Hf
0.823 0.646 0.750 Hf
0.124 0.562 0.750 Os
0.438 0.562 0.750 Os
0.438 0.876 0.750 Os
0.562 0.124 0.250 Os
0.562 0.438 0.250 Os
0.876 0.438 0.250 Os

HfOs PBE-GGA relaxed; symmetry = Fm-3m (225); DFT formation energy = 315 meV per atom; crystal system = cubic
1.0
0.000 2.695 2.695
2.695 0.000 2.695
2.695 2.695 0.000
Hf Os
1 1
direct
0.000 0.000 0.000 Hf
0.500 0.500 0.500 Os

HfOs PBE-GGA relaxed; symmetry = P4_2/mnm (136); DFT formation energy = 231 meV per atom; crystal system = tetragonal
1.0
5.349 0.000 0.000
0.000 5.349 0.000
0.000 0.000 5.382
Hf Os
4 4
direct
0.208 0.208 0.000 Hf
0.292 0.708 0.500 Hf
0.708 0.292 0.500 Hf
0.792 0.792 0.000 Hf
0.200 0.200 0.500 Os
0.300 0.700 0.000 Os
0.700 0.300 0.000 Os
0.800 0.800 0.500 Os

HfOs PBE-GGA relaxed; symmetry = P6_3/mmc (194); DFT formation energy = 638 meV per atom; crystal system = hexagonal
1.0
4.486 0.000 0.000
-2.243 3.885 0.000
0.000 0.000 5.412
Hf Os
2 2
direct
0.333 0.667 0.250 Hf
0.667 0.333 0.750 Hf
0.333 0.667 0.750 Os
0.667 0.333 0.250 Os

HfOs PBE-GGA relaxed; symmetry = Cmmm (65); DFT formation energy = -178 meV per atom; crystal system = orthorhombic
1.0
1.664 -2.432 0.000
1.664 2.432 0.000
0.000 0.000 4.282
Hf Os
1 1
direct
0.000 0.000 0.000 Hf
0.500 0.500 0.500 Os

Hf3Os PBE-GGA relaxed; symmetry = P4_2/nbc (133); DFT formation energy = -300 meV per atom; crystal system = tetragonal
1.0
10.885 0.000 0.000
0.000 10.885 0.000
0.000 0.000 5.448
Hf Os
24 8
direct
0.041 0.041 0.250 Hf
0.041 0.459 0.750 Hf
0.103 0.750 0.000 Hf
0.154 0.154 0.750 Hf
0.154 0.346 0.250 Hf
0.250 0.603 0.500 Hf
0.250 0.897 0.500 Hf
0.346 0.154 0.250 Hf
0.346 0.346 0.750 Hf
0.397 0.750 0.000 Hf
0.459 0.041 0.750 Hf
0.459 0.459 0.250 Hf
0.541 0.541 0.750 Hf
0.541 0.959 0.250 Hf
0.603 0.250 0.000 Hf
0.654 0.654 0.250 Hf
0.654 0.846 0.750 Hf
0.750 0.103 0.500 Hf
0.750 0.397 0.500 Hf
0.846 0.654 0.750 Hf
0.846 0.846 0.250 Hf
0.897 0.250 0.000 Hf
0.959 0.541 0.250 Hf
0.959 0.959 0.750 Hf
0.040 0.750 0.500 Os
0.250 0.540 0.000 Os
0.250 0.960 0.000 Os
0.460 0.750 0.500 Os
0.540 0.250 0.500 Os
0.750 0.040 0.000 Os
0.750 0.460 0.000 Os
0.960 0.250 0.500 Os

Number 1: Fermi-level density of states 2.2 states/eV/f.u.. Number 2: Fermi-level density of states 3.2 states/eV/f.u.. Number 3: Fermi-level density of states 1.9 states/eV/f.u.. Number 4: Fermi-level density of states 1.5 states/eV/f.u.. Number 5: Fermi-level density of states 1.8 states/eV/f.u.. Number 6: Fermi-level density of states 4.8 states/eV/f.u..